1.
Nb2TlCl | PBEsol | relaxed

Calculated values
Density of states at the Fermi level ... 3.85 states/eV/cell
Formation energy (no corrections) ... 416 meV/atom

abc: 6.606 6.606 6.606
angles: 90.00 90.00 90.00
Space group Fm-3m (No. 225)
Inequivalent atoms, fractional coordinates:
Nb1 0.250 0.250 0.250 x8
Tl1 0.000 0.000 0.000 x4
Cl1 0.000 0.000 0.500 x4

2.
Nb3Tl2Cl9 | PBEsol | relaxed

Calculated values
Formation energy (no corrections) ... -1208 meV/atom

abc: 10.274 16.247 9.426
angles: 90.00 115.76 90.00
Space group C2/m (No. 12)
Inequivalent atoms, fractional coordinates:
Nb1 0.113 0.000 0.365 x4
Nb2 0.135 0.089 0.643 x8
Tl1 0.106 0.341 0.826 x8
Cl1 0.000 0.211 0.500 x4
Cl2 0.026 0.106 0.825 x8
Cl3 0.178 0.500 0.164 x4
Cl4 0.193 0.298 0.174 x8
Cl5 0.208 0.394 0.491 x8
Cl6 0.245 0.500 0.802 x4

3.
Nb6Tl2VCl18 | PBEsol | relaxed

Calculated values
Density of states at the Fermi level ... 22.05 states/eV/cell
Formation energy (no corrections) ... -1214 meV/atom

abc: 9.0476 9.0476 24.9102
angles: 90.00 90.00 120.00
Space group R-3 (No. 148, hexagonal axes)
Inequivalent atoms, fractional coordinates:
Nb1 0.0459 0.2042 0.0479 x18
Tl1 0.0000 0.0000 0.2220 x6
V1 0.0000 0.0000 0.5000 x3
Cl1 0.0317 0.2375 0.4430 x18
Cl2 0.0434 0.2403 0.6676 x18
Cl3 0.0527 0.2392 0.8871 x18